ErV2InO8 after structural relaxation. Source: the Alexandria database, functional PBE+U.

a = 5.912 Å, b = 5.912 Å, c = 5.912 Å
α = 106.78°, β = 106.78°, γ = 114.99°
Sites, in units of the cell vectors:
O (0.326, 0.136, 0.810)
O (0.926, 0.616, 0.690)
O (0.926, 0.236, 0.310)
O (0.764, 0.074, 0.690)
O (0.485, 0.674, 0.810)
O (0.384, 0.074, 0.310)
O (0.326, 0.515, 0.190)
O (0.864, 0.674, 0.190)
V (0.500, 0.500, 0.000)
V (0.750, 0.250, 0.500)
Er (0.250, 0.750, 0.500)
In (0.000, 0.000, 0.000)

Results
Total energy: -0.2703 Ha/atom
Volume: 13.2 Å³/atom
Space group: I-4m2 (119)
Size of the total moment: 0.00 μB per atom